The following is a PBE-GGA calculation of La3Ru4 after structural relaxation, from Alexandria.

The structure in POSCAR format:
```
La3Ru4
1.0
6.628 0.000 0.000
-3.314 5.740 0.000
0.000 0.000 4.463
La Ru
3 4
Direct
0.000 0.500 0.000 La
0.500 0.000 0.000 La
0.500 0.500 0.000 La
0.000 0.000 0.249 Ru
0.000 0.000 0.751 Ru
0.333 0.667 0.500 Ru
0.667 0.333 0.500 Ru
```

Output
total energy: -6.734 eV/atom
total moment: 0.92 μB per formula unit
distance to the lowest polymorph of the same formula: 519 meV per atom
DFT formation energy: 0.68 eV/atom
crystal system: hexagonal


The following is a PBE-GGA calculation of PrPaN2 after structural relaxation, from Alexandria.

The structure in POSCAR format:
```
PrPaN2
1.0
1.779 1.027 6.123
-1.779 1.027 6.123
0.000 -2.055 6.123
Pr Pa N
1 1 2
Direct
0.000 0.000 0.000 Pr
0.178 0.178 0.178 Pa
0.578 0.578 0.578 N
0.778 0.778 0.778 N
```

Output
total energy: -9.093 eV/atom
total moment: 0.00 μB per formula unit
crystal system: trigonal


The following is a PBE-GGA calculation of HfVGe after structural relaxation, from Alexandria.

The structure in POSCAR format:
```
HfVGe
1.0
-1.861 1.861 7.208
1.861 -1.861 7.208
1.861 1.861 -7.208
Hf V Ge
2 2 2
Direct
0.177 0.177 0.000 Hf
0.823 0.823 0.000 Hf
0.000 0.500 0.500 V
0.500 0.000 0.500 V
0.372 0.372 0.000 Ge
0.628 0.628 0.000 Ge
```

Output
total energy: -8.508 eV/atom
total moment: 0.00 μB per formula unit
DFT formation energy: -0.61 eV/atom
crystal system: tetragonal


The following is a PBE-GGA calculation of Ce2ThTl after structural relaxation, from Alexandria.

The structure in POSCAR format:
```
Ce2ThTl
1.0
3.519 0.000 0.000
0.000 3.519 0.000
0.000 0.000 9.464
Ce Th Tl
2 1 1
Direct
0.000 0.000 0.246 Ce
0.000 0.000 0.754 Ce
0.500 0.500 0.500 Th
0.500 0.500 0.000 Tl
```

Output
total energy: -5.501 eV/atom
total moment: 1.23 μB per formula unit
distance to the lowest polymorph of the same formula: 0 meV per atom
DFT formation energy: -0.09 eV/atom
crystal system: tetragonal


The following is a PBE-GGA calculation of AcSm3Cu4 after structural relaxation, from Alexandria.

The structure in POSCAR format:
```
AcSm3Cu4
1.0
5.119 0.000 0.000
0.000 5.119 0.000
0.000 0.000 7.180
Ac Sm Cu
1 3 4
Direct
0.000 0.000 0.000 Ac
0.000 0.000 0.500 Sm
0.500 0.500 0.000 Sm
0.500 0.500 0.500 Sm
0.000 0.500 0.268 Cu
0.000 0.500 0.732 Cu
0.500 0.000 0.268 Cu
0.500 0.000 0.732 Cu
```

Output
total energy: -4.471 eV/atom
total moment: 0.00 μB per formula unit
DFT formation energy: -0.14 eV/atom
crystal system: tetragonal


The following is a PBE-GGA calculation of NiAgOs2 after structural relaxation, from Alexandria.

The structure in POSCAR format:
```
NiAgOs2
1.0
1.380 -2.275 0.000
1.380 2.275 0.000
0.000 0.000 9.324
Ni Ag Os
1 1 2
Direct
0.000 0.000 0.000 Ni
0.000 0.000 0.500 Ag
0.500 0.500 0.227 Os
0.500 0.500 0.773 Os
```

Output
total energy: -7.196 eV/atom
total moment: 0.00 μB per formula unit
distance to the lowest polymorph of the same formula: 280 meV per atom
DFT formation energy: 0.58 eV/atom
crystal system: orthorhombic